Pm2Ga3Ag4: optimized geometry, PBE-GGA.

Cell lengths 8.421, 8.421, 8.065 Å; angles 90.00, 90.00, 139.09 degrees
Fractional coordinates of all 18 atoms:
Pm1 0.107 0.893 0.900
Pm2 0.393 0.607 0.400
Pm3 0.607 0.393 0.600
Pm4 0.893 0.107 0.100
Ga1 0.000 0.000 0.500
Ga2 0.012 0.488 0.750
Ga3 0.488 0.012 0.250
Ga4 0.500 0.500 0.000
Ga5 0.512 0.988 0.750
Ga6 0.988 0.512 0.250
Ag1 0.178 0.822 0.509
Ag2 0.185 0.315 0.750
Ag3 0.315 0.185 0.250
Ag4 0.322 0.678 0.009
Ag5 0.678 0.322 0.991
Ag6 0.685 0.815 0.750
Ag7 0.815 0.685 0.250
Ag8 0.822 0.178 0.491

## Properties
Space-group type: No. 64
Energy of formation from the pure elements: -302.9 meV per atom
DFT total energy: -3.635 eV per atom



Zn2Bi2Pd: optimized geometry, PBE-GGA.

Cell lengths 7.593, 7.593, 4.148 Å; angles 90.00, 90.00, 90.00 degrees
Fractional coordinates of all 10 atoms:
Zn1 0.123 0.377 0.000
Zn2 0.377 0.877 0.000
Zn3 0.623 0.123 0.000
Zn4 0.877 0.623 0.000
Bi1 0.183 0.683 0.500
Bi2 0.317 0.183 0.500
Bi3 0.683 0.817 0.500
Bi4 0.817 0.317 0.500
Pd1 0.000 0.000 0.500
Pd2 0.500 0.500 0.500

## Properties
Space-group type: No. 127
Energy above the most stable polymorph in this dataset: 143 meV per atom
Energy of formation from the pure elements: 143.3 meV per atom
DFT total energy: -2.957 eV per atom



LiDyTlZn: optimized geometry, PBE-GGA.

Cell lengths 7.043, 7.043, 7.043 Å; angles 90.00, 90.00, 90.00 degrees
Fractional coordinates of all 16 atoms:
Li1 0.000 0.000 0.000
Li2 0.000 0.500 0.500
Li3 0.500 0.000 0.500
Li4 0.500 0.500 0.000
Dy1 0.000 0.000 0.500
Dy2 0.000 0.500 0.000
Dy3 0.500 0.000 0.000
Dy4 0.500 0.500 0.500
Tl1 0.250 0.250 0.250
Tl2 0.250 0.750 0.750
Tl3 0.750 0.250 0.750
Tl4 0.750 0.750 0.250
Zn1 0.250 0.250 0.750
Zn2 0.250 0.750 0.250
Zn3 0.750 0.250 0.250
Zn4 0.750 0.750 0.750

## Properties
Space-group type: No. 216
Energy of formation from the pure elements: -278.3 meV per atom
DFT total energy: -2.817 eV per atom



KMgS2Cl: optimized geometry, PBE-GGA.

Cell lengths 4.897, 4.897, 5.337 Å; angles 90.00, 90.00, 90.00 degrees
Fractional coordinates of all 5 atoms:
K1 0.000 0.000 0.000
Mg1 0.500 0.500 0.500
S1 0.000 0.500 0.500
S2 0.500 0.000 0.500
Cl1 0.500 0.500 0.000

## Properties
Space-group type: No. 123
Energy above the most stable polymorph in this dataset: 0 meV per atom
ΔE_f (raw): -821.4 meV per atom
DFT total energy: -3.380 eV per atom



RbMg8: optimized geometry, PBE-GGA.

Cell lengths 8.752, 8.752, 8.752 Å; angles 92.03, 92.03, 158.31 degrees
Fractional coordinates of all 9 atoms:
Rb1 0.000 0.000 0.000
Mg1 0.000 0.333 0.333
Mg2 0.000 0.667 0.667
Mg3 0.320 0.320 0.639
Mg4 0.320 0.680 0.000
Mg5 0.333 0.000 0.333
Mg6 0.667 0.000 0.667
Mg7 0.680 0.320 0.000
Mg8 0.680 0.680 0.361

## Properties
Space-group type: No. 139
Energy of formation from the pure elements: 182.7 meV per atom
DFT total energy: -1.342 eV per atom



Mn2MoHPt: optimized geometry, PBE-GGA.

Cell lengths 3.899, 3.899, 3.745 Å; angles 90.00, 90.00, 90.00 degrees
Fractional coordinates of all 5 atoms:
Mn1 0.000 0.500 0.000
Mn2 0.500 0.000 0.000
Mo1 0.000 0.000 0.500
H1 0.500 0.500 0.000
Pt1 0.500 0.500 0.500

## Properties
Space-group type: No. 123
Energy above the most stable polymorph in this dataset: 58 meV per atom
DFT total energy: -7.732 eV per atom



MgMo2W: optimized geometry, PBE-GGA.

Cell lengths 5.586, 9.059, 2.708 Å; angles 90.00, 108.59, 90.00 degrees
Fractional coordinates of all 8 atoms:
Mg1 0.000 0.000 0.000
Mg2 0.500 0.500 0.000
Mo1 0.250 0.250 0.500
Mo2 0.250 0.750 0.500
Mo3 0.750 0.250 0.500
Mo4 0.750 0.750 0.500
W1 0.000 0.500 0.000
W2 0.500 0.000 0.000

## Properties
Space-group type: No. 12
Energy of formation from the pure elements: 274.5 meV per atom
DFT total energy: -8.778 eV per atom



AlAs2Rh: optimized geometry, PBE-GGA.

Cell lengths 4.458, 4.447, 7.677 Å; angles 90.00, 90.00, 90.00 degrees
Fractional coordinates of all 8 atoms:
Al1 0.000 0.000 0.000
Al2 0.000 0.500 0.500
As1 0.000 0.000 0.664
As2 0.000 0.500 0.164
As3 0.500 0.000 0.190
As4 0.500 0.500 0.690
Rh1 0.500 0.000 0.839
Rh2 0.500 0.500 0.339

## Properties
Space-group type: No. 38
Energy of formation from the pure elements: -289.1 meV per atom
DFT total energy: -5.387 eV per atom



Ta2Hg: optimized geometry, PBE-GGA.

Cell lengths 6.555, 6.555, 5.435 Å; angles 90.00, 90.00, 90.00 degrees
Fractional coordinates of all 12 atoms:
Ta1 0.145 0.355 0.000
Ta2 0.145 0.645 0.500
Ta3 0.355 0.145 0.500
Ta4 0.355 0.855 0.000
Ta5 0.645 0.145 0.000
Ta6 0.645 0.855 0.500
Ta7 0.855 0.355 0.500
Ta8 0.855 0.645 0.000
Hg1 0.000 0.000 0.250
Hg2 0.000 0.000 0.750
Hg3 0.500 0.500 0.250
Hg4 0.500 0.500 0.750

## Properties
Space-group type: No. 140
Energy of formation from the pure elements: 550.4 meV per atom
DFT total energy: -7.452 eV per atom



Pm5ErIr4: optimized geometry, PBE-GGA.

Cell lengths 7.878, 7.878, 6.995 Å; angles 90.29, 90.29, 35.63 degrees
Fractional coordinates of all 10 atoms:
Pm1 0.000 0.000 0.000
Pm2 0.334 0.334 0.999
Pm3 0.335 0.335 0.501
Pm4 0.665 0.665 0.499
Pm5 0.666 0.666 0.001
Er1 0.000 0.000 0.500
Ir1 0.163 0.163 0.750
Ir2 0.493 0.493 0.743
Ir3 0.507 0.507 0.257
Ir4 0.837 0.837 0.250

## Properties
Space-group type: No. 12
Energy of formation from the pure elements: -643.1 meV per atom
DFT total energy: -7.019 eV per atom



LiThZnPt: optimized geometry, PBE-GGA.

Cell lengths 6.898, 6.898, 6.898 Å; angles 90.00, 90.00, 90.00 degrees
Fractional coordinates of all 16 atoms:
Li1 0.000 0.000 0.000
Li2 0.000 0.500 0.500
Li3 0.500 0.000 0.500
Li4 0.500 0.500 0.000
Th1 0.000 0.000 0.500
Th2 0.000 0.500 0.000
Th3 0.500 0.000 0.000
Th4 0.500 0.500 0.500
Zn1 0.250 0.250 0.250
Zn2 0.250 0.750 0.750
Zn3 0.750 0.250 0.750
Zn4 0.750 0.750 0.250
Pt1 0.250 0.250 0.750
Pt2 0.250 0.750 0.250
Pt3 0.750 0.250 0.250
Pt4 0.750 0.750 0.750

## Properties
Space-group type: No. 216
Energy of formation from the pure elements: -532.8 meV per atom
DFT total energy: -4.695 eV per atom



TiH2Se2: optimized geometry, PBE-GGA.

Cell lengths 6.098, 3.526, 9.140 Å; angles 90.00, 92.68, 90.00 degrees
Fractional coordinates of all 10 atoms:
Ti1 0.000 0.000 0.000
Ti2 0.500 0.500 0.000
H1 0.045 0.000 0.529
H2 0.455 0.500 0.471
H3 0.545 0.500 0.529
H4 0.955 0.000 0.471
Se1 0.178 0.500 0.170
Se2 0.322 0.000 0.830
Se3 0.678 0.000 0.170
Se4 0.822 0.500 0.830

## Properties
Space-group type: No. 12
Energy above the most stable polymorph in this dataset: 0 meV per atom
DFT total energy: -4.995 eV per atom



MnCoSi2: optimized geometry, PBE-GGA.

Cell lengths 8.535, 2.678, 4.061 Å; angles 90.00, 105.69, 90.00 degrees
Fractional coordinates of all 8 atoms:
Mn1 0.000 0.000 0.000
Mn2 0.500 0.500 0.000
Co1 0.266 0.500 0.397
Co2 0.766 0.000 0.397
Si1 0.007 0.500 0.506
Si2 0.258 0.000 0.890
Si3 0.507 0.000 0.506
Si4 0.758 0.500 0.890

## Properties
Space-group type: No. 8
Energy above the most stable polymorph in this dataset: 78 meV per atom
ΔE_f (raw): -427.4 meV per atom
DFT total energy: -7.208 eV per atom



Rb8BiSb2: optimized geometry, PBE-GGA.

Cell lengths 11.307, 11.307, 6.276 Å; angles 106.10, 106.10, 122.13 degrees
Fractional coordinates of all 11 atoms:
Rb1 0.000 0.000 0.000
Rb2 0.209 0.883 0.543
Rb3 0.295 0.499 0.395
Rb4 0.373 0.777 0.072
Rb5 0.499 0.295 0.395
Rb6 0.706 0.706 0.210
Rb7 0.777 0.373 0.072
Rb8 0.883 0.209 0.543
Bi1 0.284 0.284 0.783
Sb1 0.625 0.950 0.784
Sb2 0.950 0.625 0.784

## Properties
Space-group type: No. 8
ΔE_f (raw): -318.7 meV per atom
DFT total energy: -2.125 eV per atom



Ac2Ga3GePd4: optimized geometry, PBE-GGA.

Cell lengths 4.549, 4.549, 10.087 Å; angles 90.00, 90.00, 90.00 degrees
Fractional coordinates of all 10 atoms:
Ac1 0.000 0.500 0.249
Ac2 0.500 0.000 0.751
Ga1 0.000 0.000 0.000
Ga2 0.000 0.500 0.617
Ga3 0.500 0.000 0.383
Ge1 0.500 0.500 0.000
Pd1 0.000 0.000 0.500
Pd2 0.000 0.500 0.872
Pd3 0.500 0.000 0.128
Pd4 0.500 0.500 0.500

## Properties
Space-group type: No. 115
Energy of formation from the pure elements: -812.6 meV per atom
DFT total energy: -5.081 eV per atom



Zr2BrF: optimized geometry, PBE-GGA.

Cell lengths 6.554, 6.554, 6.554 Å; angles 90.00, 90.00, 90.00 degrees
Fractional coordinates of all 16 atoms:
Zr1 0.250 0.250 0.250
Zr2 0.250 0.250 0.750
Zr3 0.250 0.750 0.250
Zr4 0.250 0.750 0.750
Zr5 0.750 0.250 0.250
Zr6 0.750 0.250 0.750
Zr7 0.750 0.750 0.250
Zr8 0.750 0.750 0.750
Br1 0.000 0.000 0.000
Br2 0.000 0.500 0.500
Br3 0.500 0.000 0.500
Br4 0.500 0.500 0.000
F1 0.000 0.000 0.500
F2 0.000 0.500 0.000
F3 0.500 0.000 0.000
F4 0.500 0.500 0.500

## Properties
Space-group type: No. 225
Energy above the most stable polymorph in this dataset: 0 meV per atom
ΔE_f (raw): -603.9 meV per atom
DFT total energy: -5.764 eV per atom



Pr2Nd3Ho7: optimized geometry, PBE-GGA.

Cell lengths 5.859, 3.597, 18.974 Å; angles 90.00, 93.19, 90.00 degrees
Fractional coordinates of all 12 atoms:
Pr1 0.210 0.000 0.292
Pr2 0.790 0.000 0.708
Nd1 0.000 0.000 0.000
Nd2 0.277 0.500 0.631
Nd3 0.723 0.500 0.369
Ho1 0.190 0.500 0.141
Ho2 0.242 0.000 0.462
Ho3 0.309 0.000 0.829
Ho4 0.500 0.500 0.000
Ho5 0.691 0.000 0.171
Ho6 0.758 0.000 0.538
Ho7 0.810 0.500 0.859

## Properties
Space-group type: No. 10
Energy of formation from the pure elements: 86.7 meV per atom
DFT total energy: -4.572 eV per atom



Ti4Te3S: optimized geometry, PBE-GGA.

Cell lengths 6.910, 7.155, 7.248 Å; angles 90.00, 90.00, 90.00 degrees
Fractional coordinates of all 16 atoms:
Ti1 0.000 0.127 0.000
Ti2 0.000 0.860 0.345
Ti3 0.241 0.213 0.300
Ti4 0.259 0.787 0.800
Ti5 0.500 0.140 0.845
Ti6 0.500 0.873 0.500
Ti7 0.741 0.787 0.800
Ti8 0.759 0.213 0.300
Te1 0.000 0.086 0.630
Te2 0.242 0.585 0.470
Te3 0.258 0.415 0.970
Te4 0.500 0.914 0.130
Te5 0.742 0.415 0.970
Te6 0.758 0.585 0.470
S1 0.000 0.796 0.023
S2 0.500 0.204 0.523

## Properties
Space-group type: No. 31
ΔE_f (raw): -547.6 meV per atom
DFT total energy: -6.189 eV per atom



LiGaC: optimized geometry, PBE-GGA.

Cell lengths 5.428, 6.018, 4.970 Å; angles 90.00, 90.00, 90.00 degrees
Fractional coordinates of all 12 atoms:
Li1 0.250 0.000 0.000
Li2 0.250 0.500 0.000
Li3 0.750 0.000 0.000
Li4 0.750 0.500 0.000
Ga1 0.250 0.250 0.500
Ga2 0.250 0.750 0.500
Ga3 0.750 0.250 0.500
Ga4 0.750 0.750 0.500
C1 0.000 0.250 0.232
C2 0.000 0.750 0.768
C3 0.500 0.250 0.768
C4 0.500 0.750 0.232

## Properties
Space-group type: No. 67
Energy of formation from the pure elements: 482.5 meV per atom
DFT total energy: -4.239 eV per atom



TiNbCu2: optimized geometry, PBE-GGA.

Cell lengths 7.075, 7.075, 4.995 Å; angles 90.00, 90.00, 90.00 degrees
Fractional coordinates of all 16 atoms:
Ti1 0.000 0.000 0.000
Ti2 0.000 0.500 0.250
Ti3 0.500 0.000 0.750
Ti4 0.500 0.500 0.500
Nb1 0.000 0.000 0.500
Nb2 0.000 0.500 0.750
Nb3 0.500 0.000 0.250
Nb4 0.500 0.500 0.000
Cu1 0.241 0.250 0.125
Cu2 0.250 0.741 0.375
Cu3 0.250 0.759 0.875
Cu4 0.259 0.250 0.625
Cu5 0.741 0.750 0.625
Cu6 0.750 0.241 0.875
Cu7 0.750 0.259 0.375
Cu8 0.759 0.750 0.125

## Properties
Space-group type: No. 122
Energy above the most stable polymorph in this dataset: 349 meV per atom
Energy of formation from the pure elements: 363.0 meV per atom
DFT total energy: -6.176 eV per atom